Material: Al3MoPt12
Method: DFT, PBE
State: optimized geometry

formation energy from the elements: -0.5963 eV/atom
total magnetization: 0.23 Bohr magnetons per cell
uncorrected energy: -6.5056 eV/atom

abc: 3.936 3.936 15.733
angles: 90.00 90.00 90.00
Fractional coordinates of all 16 atoms:
1 Al 0.000 0.000 0.259
2 Al 0.000 0.000 0.500
3 Al 0.000 0.000 0.741
4 Mo 0.000 0.000 0.000
5 Pt 0.500 0.500 0.000
6 Pt 0.500 0.500 0.250
7 Pt 0.500 0.500 0.500
8 Pt 0.500 0.500 0.750
9 Pt 0.500 0.000 0.124
10 Pt 0.500 0.000 0.376
11 Pt 0.500 0.000 0.624
12 Pt 0.500 0.000 0.876
13 Pt 0.000 0.500 0.124
14 Pt 0.000 0.500 0.376
15 Pt 0.000 0.500 0.624
16 Pt 0.000 0.500 0.876